Entry from OQMD: Cu7Ag3 after structural relaxation (GGA-PBE).

Lattice parameters (Å, degrees): 4.6568 4.6655 7.0944 108.50 102.67 99.70
With the nearest neighbours (Å) after each atom.
Atoms (fractional coordinates):
Cu (0.0000, 0.0000, 0.0000)  6 Cu 2.59-2.89, 6 Ag 2.69-2.84
Cu (0.0751, 0.1793, 0.6675)  6 Cu 2.49-2.73, 3 Ag 2.65-2.73
Cu (0.1908, 0.3761, 0.3860)  10 Cu 2.56-2.83, 2 Ag 2.64-2.67
Cu (0.4981, 0.0058, 0.4840)  9 Cu 2.57-2.83, 3 Ag 2.61-2.70
Cu (0.6177, 0.1960, 0.2008)  8 Cu 2.53-2.76, 3 Ag 2.69-2.79
Cu (0.7787, 0.5923, 0.5680)  8 Cu 2.53-2.73, 3 Ag 2.67-2.75
Cu (0.9108, 0.8023, 0.3011)  9 Cu 2.49-2.71, 2 Ag 2.68-2.69
Ag (0.3122, 0.5965, 0.1048)  8 Cu 2.61-2.75, 3 Ag 2.75-2.81
Ag (0.3724, 0.7896, 0.7754)  9 Cu 2.66-2.85, 3 Ag 2.76-2.81
Ag (0.7064, 0.3956, 0.8818)  8 Cu 2.65-2.84, 4 Ag 2.75-2.77

Results
**Relative energy among the computed polymorphs**: 40 meV/atom